A plane-wave DFT calculation with PBE was carried out for a relaxed MgZnAg2F6 crystal.

a = 5.6451 Å, b = 5.6556 Å, c = 9.8391 Å
α = 90.00°, β = 124.98°, γ = 90.00°
Last column: nearest neighbours and their distance in Å.
Fractional positions:
1 Mg 0.0000 0.0000 0.0000  6 F 2.02
2 Mg 0.0000 0.5000 0.5000  6 F 2.02
3 Zn 0.5000 0.0000 0.5000  6 F 2.07-2.08
4 Zn 0.5000 0.5000 0.0000  6 F 2.07-2.08
5 Ag 0.2524 0.0245 0.7500  6 F 2.46-2.71
6 Ag 0.2524 0.4755 0.2500  6 F 2.46-2.71
7 Ag 0.7476 0.5245 0.7500  6 F 2.46-2.71
8 Ag 0.7476 0.9755 0.2500  6 F 2.46-2.71
9 F 0.1910 0.0143 0.2469  1 Mg 2.02, 1 Zn 2.07
10 F 0.1910 0.4857 0.7469  1 Mg 2.02, 1 Zn 2.07
11 F 0.2238 0.7033 0.0276  1 Mg 2.02, 1 Zn 2.08
12 F 0.2238 0.7967 0.5276  1 Mg 2.02, 1 Zn 2.08
13 F 0.3245 0.1969 0.0280  1 Mg 2.02, 1 Zn 2.08
14 F 0.3245 0.3031 0.5280  1 Mg 2.02, 1 Zn 2.08
15 F 0.6755 0.6969 0.4720  1 Mg 2.02, 1 Zn 2.08
16 F 0.6755 0.8031 0.9720  1 Mg 2.02, 1 Zn 2.08
17 F 0.7762 0.2033 0.4724  1 Mg 2.02, 1 Zn 2.08
18 F 0.7762 0.2967 0.9724  1 Mg 2.02, 1 Zn 2.08
19 F 0.8090 0.5143 0.2531  1 Mg 2.02, 1 Zn 2.07
20 F 0.8090 0.9857 0.7531  1 Mg 2.02, 1 Zn 2.07

The formation energy from raw total energies is -21.444 eV per formula unit. As for the space group: No. 14. For the calculated volume, the calculation gives 12.87 Å³/atom.